[1]
The following is a DFT calculation (PBE) of a geometry-optimized Nd7As5Se structure.

Cell and atoms, written as POSCAR:
```
Nd7As5Se
1.0
7.0308 -2.1152 0.0000
7.0308 2.1152 0.0000
-0.0170 0.0000 24.9602
Nd As Se
14 10 2
Cartesian
0.6369 0.0000 6.2425
1.9252 0.0000 13.3679
1.9174 0.0000 24.0729
4.5090 0.0000 4.4002
4.5045 0.0000 8.0771
5.7951 0.0000 15.0864
5.7871 0.0000 22.3515
8.2576 0.0000 2.6087
8.2495 0.0000 9.8738
9.5402 0.0000 16.8831
9.5357 0.0000 20.5601
12.1272 0.0000 0.8873
12.1195 0.0000 11.5923
13.4078 0.0000 18.7177
0.6347 0.0000 16.1230
0.6262 0.0000 21.3189
3.1927 0.0000 1.8582
3.1832 0.0000 10.6194
7.0308 0.0000 0.0000
7.0223 0.0000 12.4801
10.8615 0.0000 14.3409
10.8519 0.0000 23.1020
13.4185 0.0000 3.6414
13.4099 0.0000 8.8372
4.1832 0.0000 18.7315
9.8615 0.0000 6.2287
```

**Raw formation energy**: -1.417 eV per atom
**Spin magnetization**: 0.20 μB/f.u.
**DOS(E_F)**: 0.47 states/eV/atom

[2]
The following is a DFT calculation (PBE) of a geometry-optimized CdAsBr2 structure.

Cell and atoms, written as POSCAR:
```
CdAsBr2
1.0
0.0000 3.9973 4.0700
3.3229 0.0000 4.0700
3.3229 3.9973 0.0000
Cd As Br
1 1 2
Cartesian
0.0000 0.0000 0.0000
3.3229 3.9973 4.0700
3.3229 1.9987 2.0350
0.0000 1.9987 2.0350
```

**E above lowest polymorph**: 267 meV/atom
**Raw formation energy**: -0.012 eV per atom
**Spin magnetization**: 0.00 μB/f.u.
**DOS(E_F)**: 0.34 states/eV/atom

[3]
The following is a DFT calculation (PBE) of a geometry-optimized Mg2CoPd2 structure.

Cell and atoms, written as POSCAR:
```
Mg2CoPd2
1.0
7.4051 0.0000 0.0000
0.0000 7.4051 0.0000
0.0000 0.0000 2.9237
Mg Co Pd
4 2 4
Cartesian
1.0588 2.6437 0.0000
2.6437 6.3463 0.0000
4.7613 1.0588 0.0000
6.3463 4.7613 0.0000
0.0000 0.0000 0.0000
3.7025 3.7025 0.0000
1.1608 4.8634 1.4619
2.5417 1.1608 1.4619
4.8634 6.2443 1.4619
6.2443 2.5417 1.4619
```

**E above lowest polymorph**: 116 meV/atom
**ΔH_f (0 K)**: -0.1371 eV per atom
**Spin magnetization**: 1.77 μB/f.u.
**DOS(E_F)**: 0.54 states/eV/atom

[4]
The following is a DFT calculation (PBE) of a geometry-optimized ZnRuW structure.

Cell and atoms, written as POSCAR:
```
ZnRuW
1.0
-1.5321 1.5321 4.7103
1.5321 -1.5321 4.7103
1.5321 1.5321 -4.7103
Zn Ru W
1 1 1
Cartesian
0.0000 0.0000 0.0000
0.0000 0.0000 3.1350
0.0000 0.0000 6.3983
```

**E above lowest polymorph**: 115 meV/atom
**ΔH_f (0 K)**: 0.0603 eV per atom
**Spin magnetization**: 0.00 μB/f.u.
**DOS(E_F)**: 0.57 states/eV/atom

[5]
The following is a DFT calculation (PBE) of a geometry-optimized K3Pd2O4 structure.

Cell and atoms, written as POSCAR:
```
K3Pd2O4
1.0
4.8178 -5.7202 0.0000
4.8178 5.7202 0.0000
-1.4442 0.0000 5.8924
K Pd O
6 4 8
Cartesian
3.7346 4.8078 4.4193
3.2020 1.7727 2.8748
5.7114 1.7727 0.0714
2.4799 -1.7727 5.8210
4.9893 -1.7727 3.0176
4.4567 -4.8078 1.4731
0.9107 1.3207 5.6450
1.6328 -1.3207 2.6989
6.5586 1.3207 3.1935
7.2807 -1.3207 0.2473
1.6819 3.0209 4.8155
1.3343 0.3317 3.8641
2.0564 -0.3317 0.9180
5.7873 3.0209 4.0230
2.4040 -3.0209 1.8693
6.1349 0.3317 4.9744
6.8570 -0.3317 2.0282
6.5094 -3.0209 1.0769
```

**E above lowest polymorph**: 139 meV/atom
**Raw formation energy**: -0.887 eV per atom
**Spin magnetization**: 1.07 μB/f.u.
**DOS(E_F)**: 0.42 states/eV/atom

[6]
The following is a DFT calculation (PBE) of a geometry-optimized CrN structure.

Cell and atoms, written as POSCAR:
```
CrN
1.0
5.2867 0.0000 0.0000
0.0000 5.2867 0.0000
0.0000 0.0000 5.2867
Cr N
6 6
Cartesian
0.0000 1.3217 2.6434
0.0000 3.9650 2.6434
1.3217 2.6434 0.0000
2.6434 0.0000 1.3217
2.6434 0.0000 3.9650
3.9650 2.6434 0.0000
0.0000 2.6434 1.3217
0.0000 2.6434 3.9650
1.3217 0.0000 2.6434
2.6434 1.3217 0.0000
2.6434 3.9650 0.0000
3.9650 0.0000 2.6434
```

**Raw formation energy**: -0.308 eV per atom
**Spin magnetization**: 0.38 μB/f.u.
**DOS(E_F)**: 1.20 states/eV/atom

[7]
The following is a DFT calculation (PBE) of a geometry-optimized PrAlTe2O8 structure.

Cell and atoms, written as POSCAR:
```
PrAlTe2O8
1.0
5.8820 0.0000 0.0000
-2.9410 5.0939 0.0000
0.0000 0.0000 6.5477
Pr Al Te O
1 1 2 8
Cartesian
0.0000 0.0000 0.0000
0.0000 0.0000 3.2738
0.0000 3.3960 1.8358
2.9410 1.6980 4.7119
0.0000 1.4410 2.0216
-1.6930 4.3734 2.0216
1.2480 0.7205 4.5261
0.0000 3.3960 6.5461
2.9410 1.6980 0.0015
1.6930 4.3734 2.0216
4.6340 0.7205 4.5261
2.9410 3.6529 4.5261
```

**Raw formation energy**: -1.672 eV per atom
**Spin magnetization**: 0.59 μB/f.u.
**DOS(E_F)**: 0.34 states/eV/atom

[8]
The following is a DFT calculation (PBE) of a geometry-optimized CuSnHPd2 structure.

Cell and atoms, written as POSCAR:
```
CuSnHPd2
1.0
4.1152 0.0000 0.0000
0.0000 4.1152 0.0000
0.0000 0.0000 3.9170
Cu Sn H Pd
1 1 1 2
Cartesian
0.0000 0.0000 0.0000
2.0576 2.0576 0.0000
0.0000 0.0000 1.9585
0.0000 2.0576 1.9585
2.0576 0.0000 1.9585
```

**E_tot**: -22.991 eV/cell
**Spin magnetization**: 0.00 μB/f.u.
**DOS(E_F)**: 0.40 states/eV/atom

[9]
The following is a DFT calculation (PBE) of a geometry-optimized Li7CdPd5 structure.

Cell and atoms, written as POSCAR:
```
Li7CdPd5
1.0
-2.7177 4.5016 4.3352
2.7177 -4.5016 4.3352
2.7177 4.5016 -4.3352
Li Cd Pd
7 1 5
Cartesian
0.0000 0.0000 0.0000
2.7177 1.6885 0.6505
0.0000 0.0000 2.9495
0.0000 2.9791 0.5446
0.0000 6.0241 0.5446
0.0000 4.5016 2.8245
0.0000 2.8131 4.9857
0.0000 0.0000 5.8529
1.3671 2.1420 -1.5652
4.0683 2.1420 -1.5652
2.7177 0.0000 2.7105
-1.3506 2.3596 2.7700
1.3506 2.3596 2.7700
```

**ΔH_f (0 K)**: -0.3407 eV per atom
**Spin magnetization**: 0.00 μB/f.u.
**DOS(E_F)**: 0.40 states/eV/atom

[10]
The following is a DFT calculation (PBE) of a geometry-optimized La2CrCl structure.

Cell and atoms, written as POSCAR:
```
La2CrCl
1.0
1.8485 1.0673 10.0742
-1.8485 1.0673 10.0742
0.0000 -2.1345 10.0742
La Cr Cl
2 1 1
Cartesian
0.0000 0.0000 0.0000
0.0000 0.0000 6.8880
0.0000 0.0000 14.6083
0.0000 0.0000 22.2252
```

**E above lowest polymorph**: 295 meV/atom
**Raw formation energy**: -0.158 eV per atom
**Spin magnetization**: 3.69 μB/f.u.
**DOS(E_F)**: 0.88 states/eV/atom

[11]
The following is a DFT calculation (PBE) of a geometry-optimized CsSrLi2Pt structure.

Cell and atoms, written as POSCAR:
```
CsSrLi2Pt
1.0
5.4716 0.0000 0.0000
0.0000 5.4716 0.0000
0.0000 0.0000 5.7321
Cs Sr Li Pt
1 1 2 1
Cartesian
0.0000 0.0000 0.0000
2.7358 2.7358 0.0000
0.0000 2.7358 2.8661
2.7358 0.0000 2.8661
2.7358 2.7358 2.8661
```

**ΔH_f (0 K)**: -0.0958 eV per atom
**Spin magnetization**: 0.00 μB/f.u.
**DOS(E_F)**: 0.64 states/eV/atom

[12]
The following is a DFT calculation (PBE) of a geometry-optimized Cs2ErI4 structure.

Cell and atoms, written as POSCAR:
```
Cs2ErI4
1.0
-3.0069 3.0069 9.6664
3.0069 -3.0069 9.6664
3.0069 3.0069 -9.6664
Cs Er I
2 1 4
Cartesian
0.0000 0.0000 2.6926
0.0000 0.0000 16.6401
0.0000 0.0000 9.6664
3.0069 0.0000 0.0000
0.0000 0.0000 6.5747
0.0000 3.0069 0.0000
0.0000 0.0000 12.7580
```

**Raw formation energy**: -1.314 eV per atom
**Spin magnetization**: 0.55 μB/f.u.
**DOS(E_F)**: 0.47 states/eV/atom

[13]
The following is a DFT calculation (PBE) of a geometry-optimized LaSmBN3 structure.

Cell and atoms, written as POSCAR:
```
LaSmBN3
1.0
5.6724 0.0000 0.0000
-2.8362 4.9124 0.0000
0.0000 0.0000 6.2952
La Sm B N
2 2 2 6
Cartesian
0.0000 3.2749 1.5738
2.8362 1.6375 4.7214
0.0000 0.0000 0.0000
0.0000 0.0000 3.1476
0.0000 3.2749 4.7214
2.8362 1.6375 1.5738
0.0000 1.8140 4.7214
-1.2652 4.0054 4.7214
1.5710 0.9070 1.5738
1.2652 4.0054 4.7214
4.1014 0.9070 1.5738
2.8362 3.0984 1.5738
```

**Raw formation energy**: -1.188 eV per atom
**Spin magnetization**: 0.00 μB/f.u.

[14]
The following is a DFT calculation (PBE) of a geometry-optimized FeRe5 structure.

Cell and atoms, written as POSCAR:
```
FeRe5
1.0
0.0000 3.6079 3.6079
3.6079 0.0000 3.6079
3.6079 3.6079 0.0000
Fe Re
1 5
Cartesian
0.0000 0.0000 0.0000
2.6998 2.6998 2.6998
4.5160 4.5160 2.6998
4.5160 2.6998 4.5160
5.4118 5.4118 5.4118
2.6998 4.5160 4.5160
```

**E above lowest polymorph**: 439 meV/atom
**ΔH_f (0 K)**: 0.4699 eV per atom
**Spin magnetization**: 1.98 μB/f.u.
**DOS(E_F)**: 0.83 states/eV/atom

[15]
The following is a DFT calculation (PBE) of a geometry-optimized Pr3Dy12In5 structure.

Cell and atoms, written as POSCAR:
```
Pr3Dy12In5
1.0
-9.1502 9.1502 9.1502
9.1502 -9.1502 9.1502
9.1502 9.1502 -9.1502
Pr Dy In
12 48 20
Cartesian
4.5751 2.2875 0.0000
9.1502 4.5751 -2.2875
2.2875 0.0000 4.5751
11.4377 0.0000 4.5751
0.0000 4.5751 2.2875
4.5751 -2.2875 9.1502
4.5751 11.4377 0.0000
9.1502 4.5751 6.8626
-2.2875 9.1502 4.5751
6.8626 9.1502 4.5751
0.0000 4.5751 11.4377
4.5751 6.8626 9.1502
2.6684 -0.3904 1.3647
11.0569 5.9398 -4.9655
8.7598 -1.3647 2.6684
14.1156 -1.9067 3.2103
11.8185 0.3904 1.3647
11.0569 -3.2103 4.9655
1.3647 2.6684 -0.3904
12.3605 4.1847 -1.9067
5.9398 4.9655 -1.9067
7.7854 2.6684 0.3904
-0.3904 1.3647 2.6684
4.9655 -1.9067 5.9398
8.7598 7.7854 -2.6684
4.9655 1.9067 3.2103
7.7854 -2.6684 8.7598
5.9398 -4.9655 11.0569
3.2103 4.9655 1.9067
10.5149 6.4818 0.3904
2.6684 8.7598 -1.3647
11.0569 3.2103 4.1847
4.9655 11.0569 -3.2103
8.7598 1.3647 6.4818
1.9067 3.2103 4.9655
2.6684 0.3904 7.7854
6.4818 8.7598 1.3647
7.2434 5.9398 4.1847
0.3904 7.7854 2.6684
4.1847 -1.9067 12.3605
-1.9067 5.9398 4.9655
6.4818 0.3904 10.5149
-1.3647 2.6684 8.7598
5.9398 4.1847 7.2434
3.2103 14.1156 -1.9067
1.3647 11.8185 0.3904
4.1847 7.2434 5.9398
0.3904 1.3647 11.8185
4.1847 11.0569 3.2103
9.5406 7.7854 6.4818
1.3647 6.4818 8.7598
3.2103 4.1847 11.0569
-3.2103 4.9655 11.0569
7.7854 6.4818 9.5406
-1.9067 12.3605 4.1847
-2.6684 8.7598 7.7854
-4.9655 11.0569 5.9398
0.3904 10.5149 6.4818
-1.9067 3.2103 14.1156
6.4818 9.5406 7.7854
0.0000 0.0000 0.0000
4.5751 4.5751 -4.5751
4.5751 -4.5751 4.5751
9.1502 0.0000 0.0000
13.7252 2.2875 0.0000
9.1502 -4.5751 6.8626
6.8626 9.1502 -4.5751
6.8626 0.0000 4.5751
4.5751 6.8626 0.0000
9.1502 4.5751 2.2875
-4.5751 4.5751 4.5751
0.0000 9.1502 0.0000
0.0000 0.0000 9.1502
4.5751 4.5751 4.5751
0.0000 4.5751 6.8626
4.5751 2.2875 9.1502
2.2875 9.1502 4.5751
2.2875 0.0000 13.7252
0.0000 13.7252 2.2875
-4.5751 6.8626 9.1502
```

**ΔH_f (0 K)**: 0.5293 eV per atom
**Spin magnetization**: 0.00 μB/f.u.
**DOS(E_F)**: 1.75 states/eV/atom

[16]
The following is a DFT calculation (PBE) of a geometry-optimized Ac5Al2Ga structure.

Cell and atoms, written as POSCAR:
```
Ac5Al2Ga
1.0
-4.1474 4.1474 8.1179
4.1474 -4.1474 8.1179
4.1474 4.1474 -8.1179
Ac Al Ga
10 4 2
Cartesian
0.0000 0.0000 0.0000
5.5941 1.4466 -2.4164
1.4466 2.7008 -2.4164
5.5941 1.4466 2.4164
1.4466 2.7008 2.4164
0.0000 0.0000 8.1179
2.7008 1.4466 5.7015
-1.4466 2.7008 5.7015
2.7008 1.4466 10.5343
-1.4466 2.7008 10.5343
3.2121 0.9353 0.0000
3.2121 -0.9353 8.1179
0.9353 5.0827 0.0000
0.9353 3.2121 8.1179
0.0000 0.0000 4.0589
0.0000 0.0000 12.1768
```

**ΔH_f (0 K)**: -0.2578 eV per atom
**Spin magnetization**: 0.00 μB/f.u.
**DOS(E_F)**: 1.00 states/eV/atom

[17]
The following is a DFT calculation (PBE) of a geometry-optimized K2CoW structure.

Cell and atoms, written as POSCAR:
```
K2CoW
1.0
1.4345 0.8282 11.8067
-1.4345 0.8282 11.8067
0.0000 -1.6565 11.8067
K Co W
2 1 1
Cartesian
0.0000 0.0000 8.6940
0.0000 0.0000 26.7260
0.0000 0.0000 17.7100
0.0000 0.0000 0.0000
```

**E above lowest polymorph**: 606 meV/atom
**ΔH_f (0 K)**: 1.4534 eV per atom
**Spin magnetization**: 1.44 μB/f.u.
**DOS(E_F)**: 1.02 states/eV/atom

[18]
The following is a DFT calculation (PBE) of a geometry-optimized HfPaAu6 structure.

Cell and atoms, written as POSCAR:
```
HfPaAu6
1.0
2.7985 1.6157 7.3482
-2.7985 1.6157 7.3482
0.0000 -3.2314 7.3482
Hf Pa Au
1 1 6
Cartesian
0.0000 0.0000 0.0000
0.0000 0.0000 11.0224
0.0000 -1.5839 5.1758
-1.3717 0.7920 5.1758
-1.3717 -0.7920 16.8689
1.3717 0.7920 5.1758
1.3717 -0.7920 16.8689
0.0000 1.5839 16.8689
```

**ΔH_f (0 K)**: 0.0105 eV per atom
**Spin magnetization**: 1.38 μB/f.u.
**DOS(E_F)**: 1.19 states/eV/atom